Entry from Alexandria: a geometry-optimized La2CdPb2 structure (PBE-GGA).

## Properties
DOS(E_F), states/eV/f.u.: 7.947
Raw total energy, eV per cell: -18.64
Space-group type: I4/mmm
Offset from the most stable computed form, meV per atom: 414.7
E_form, eV per atom: -0.09

a b c (Å): 6.405 6.405 6.405
angles (deg): 120.07 120.07 89.88
Element x y z (fractional)
La: 0.250 0.750 0.500
La: 0.750 0.250 0.500
Cd: 0.000 0.000 0.000
Pb: 0.329 0.329 0.000
Pb: 0.671 0.671 0.000